No. 1
# Y2ScGa4Pd3

Y2ScGa4Pd3 after structural relaxation (PBE, Alexandria via LeMat-Bulk).

Lattice parameters (Å, degrees): 4.020 4.020 12.080 90.00 90.00 90.00
Positions (direct):
Y  0.000  0.500  0.238
Y  0.500  0.000  0.762
Sc  0.000  0.000  0.500
Ga  0.000  0.000  0.000
Ga  0.000  0.500  0.656
Ga  0.500  0.000  0.344
Ga  0.500  0.500  0.000
Pd  0.000  0.500  0.863
Pd  0.500  0.000  0.137
Pd  0.500  0.500  0.500

## Properties
Energy of formation = -746 meV per atom
Space group = P-4m2 (115)



No. 2
# DyCo3As3

DyCo3As3 after structural relaxation (PBE, Alexandria via LeMat-Bulk).

Lattice parameters (Å, degrees): 6.341 6.341 6.341 90.00 90.00 90.00
Positions (direct):
Dy  0.000  0.000  0.000
Dy  0.500  0.500  0.500
Co  0.000  0.250  0.500
Co  0.000  0.750  0.500
Co  0.250  0.500  0.000
Co  0.500  0.000  0.250
Co  0.500  0.000  0.750
Co  0.750  0.500  0.000
As  0.000  0.500  0.250
As  0.000  0.500  0.750
As  0.250  0.000  0.500
As  0.500  0.250  0.000
As  0.500  0.750  0.000
As  0.750  0.000  0.500

## Properties
Energy of formation = -208 meV per atom
Space group = Pm-3n (223)
Relative energy among the computed polymorphs = 1.92 eV per formula unit



No. 3
# LaMg2Zn2Pt

LaMg2Zn2Pt after structural relaxation (PBE, Alexandria via LeMat-Bulk).

Lattice parameters (Å, degrees): 6.660 6.660 6.660 135.90 135.90 64.14
Positions (direct):
La  0.000  0.000  0.000
Mg  0.250  0.750  0.500
Mg  0.750  0.250  0.500
Zn  0.284  0.284  0.000
Zn  0.716  0.716  0.000
Pt  0.500  0.500  0.000

## Properties
Energy of formation = -71 meV per atom
Space group = I4/mmm (139)



No. 4
# Te2WCl6

Te2WCl6 after structural relaxation (PBE, Alexandria via LeMat-Bulk).

Lattice parameters (Å, degrees): 6.810 7.775 11.991 76.70 74.73 86.49
Positions (direct):
Te  0.086  0.098  0.331
Te  0.254  0.868  0.491
Te  0.746  0.132  0.509
Te  0.914  0.902  0.669
W  0.309  0.342  0.798
W  0.691  0.658  0.202
Cl  0.010  0.781  0.120
Cl  0.183  0.624  0.817
Cl  0.251  0.392  0.609
Cl  0.365  0.545  0.288
Cl  0.374  0.287  0.983
Cl  0.440  0.057  0.773
Cl  0.560  0.943  0.227
Cl  0.626  0.713  0.017
Cl  0.635  0.455  0.712
Cl  0.749  0.608  0.391
Cl  0.817  0.376  0.183
Cl  0.990  0.219  0.880

## Properties
Space group = P-1 (2)
Energy relative to the elements, uncorrected = -642 meV/atom
Relative energy among the computed polymorphs = 0.07 eV per formula unit



No. 5
# LaBiTeN2

LaBiTeN2 after structural relaxation (PBE, Alexandria via LeMat-Bulk).

Lattice parameters (Å, degrees): 4.495 4.495 5.887 90.00 90.00 90.00
Positions (direct):
La  0.000  0.000  0.000
Bi  0.500  0.500  0.500
Te  0.500  0.500  0.000
N  0.000  0.500  0.500
N  0.500  0.000  0.500

## Properties
Space group = P4/mmm (123)
Energy relative to the elements, uncorrected = 641 meV/atom



No. 6
# PrHoTe2Cl

PrHoTe2Cl after structural relaxation (PBE, Alexandria via LeMat-Bulk).

Lattice parameters (Å, degrees): 4.357 4.357 15.080 90.00 90.00 90.00
Positions (direct):
Pr  0.250  0.250  0.135
Pr  0.750  0.750  0.865
Ho  0.250  0.250  0.583
Ho  0.750  0.750  0.417
Te  0.250  0.250  0.379
Te  0.250  0.250  0.792
Te  0.750  0.750  0.208
Te  0.750  0.750  0.621
Cl  0.250  0.750  0.000
Cl  0.750  0.250  0.000

## Properties
Space group = P4/nmm (129)
Energy relative to the elements, uncorrected = -1600 meV/atom



No. 7
# LaPm3YSc

LaPm3YSc after structural relaxation (PBE, Alexandria via LeMat-Bulk).

Lattice parameters (Å, degrees): 7.975 5.114 10.196 90.00 108.85 90.00
Positions (direct):
La  0.176  0.250  0.298
La  0.824  0.750  0.702
Pm  0.170  0.250  0.789
Pm  0.170  0.750  0.044
Pm  0.178  0.750  0.542
Pm  0.822  0.250  0.458
Pm  0.830  0.250  0.956
Pm  0.830  0.750  0.211
Y  0.499  0.750  0.873
Y  0.501  0.250  0.127
Sc  0.500  0.250  0.624
Sc  0.500  0.750  0.376

## Properties
Energy of formation = 49 meV per atom
Space group = P2_1/m (11)



No. 8
# Tm7SbC2

Tm7SbC2 after structural relaxation (PBE, Alexandria via LeMat-Bulk).

Lattice parameters (Å, degrees): 7.449 7.449 4.688 90.00 90.00 109.77
Positions (direct):
Tm  0.000  0.000  0.000
Tm  0.173  0.444  0.000
Tm  0.207  0.793  0.500
Tm  0.444  0.173  0.000
Tm  0.556  0.827  0.000
Tm  0.793  0.207  0.500
Tm  0.827  0.556  0.000
Sb  0.500  0.500  0.500
C  0.210  0.790  0.000
C  0.790  0.210  0.000

## Properties
Space group = Cmmm (65)
Energy relative to the elements, uncorrected = -72 meV/atom



No. 9
# YFeAg2

YFeAg2 after structural relaxation (PBE, Alexandria via LeMat-Bulk).

Lattice parameters (Å, degrees): 5.182 5.182 5.182 131.40 131.40 71.18
Positions (direct):
Y  0.000  0.000  0.000
Fe  0.250  0.750  0.500
Ag  0.500  0.500  0.000
Ag  0.750  0.250  0.500

## Properties
Energy of formation = 144 meV per atom
Space group = I-4m2 (119)



Number 1: spin magnetization 0.0 μB/f.u., E -0.3999 Ry per atom. Number 2: spin magnetization 0.0 μB/f.u., E -0.4339 Ry per atom. Number 3: spin magnetization 0.0 μB/f.u., E -0.2098 Ry per atom. Number 4: spin magnetization 0.9 μB/f.u., E -0.2948 Ry per atom. Number 5: spin magnetization 0.0 μB/f.u., E -0.3733 Ry per atom. Number 6: spin magnetization 0.0 μB/f.u., E -0.3746 Ry per atom. Number 7: spin magnetization 0.0 μB/f.u., E -0.3881 Ry per atom. Number 8: spin magnetization 0.0 μB/f.u., E -0.4012 Ry per atom. Number 9: spin magnetization 2.3 μB/f.u., E -0.3685 Ry per atom.